No. 1
VASP calculation (PBE) on a relaxed LaTlAu crystal.

The value obtained for the calculated total energy is -24.0 eV for the cell shown. As for the symmetry: I4mm, No. 107. The value obtained for the formation energy from the elements is -471 meV/atom. Its total magnetization is 0.00 μB/cell.

Cell: 3.7095 3.7095 11.7032 Å, 90.00 90.00 90.00°
Last column: nearest neighbours and their distance in Å.
Element x y z (fractional)
La 0.0000 0.0000 0.0000  4 Au 3.17, 5 Tl 3.50-3.54
La 0.5000 0.5000 0.5000  4 Au 3.17, 5 Tl 3.50-3.54
Tl 0.0000 0.0000 0.3021  4 Au 3.15, 4 La 3.50
Tl 0.5000 0.5000 0.8021  4 Au 3.15, 4 La 3.50
Au 0.0000 0.0000 0.6527  4 Tl 3.15, 4 La 3.17
Au 0.5000 0.5000 0.1527  4 Tl 3.15, 4 La 3.17


No. 2
VASP calculation (PBE) on a relaxed La3Pr6Ho2Mg crystal.

The value obtained for the calculated total energy is -53.9 eV for the cell shown. As for the symmetry: C2/m, No. 12. The value obtained for the formation energy from the elements is 30 meV/atom. Its total magnetization is 0.00 μB/cell.

Cell: 6.3580 6.3580 12.0293 Å, 95.10 95.10 120.09°
Last column: nearest neighbours and their distance in Å.
Element x y z (fractional)
La 0.0000 0.0000 0.0000  6 La 3.65-3.68, 6 Pr 3.71
La 0.3316 0.6684 0.0000  6 La 3.65-3.71, 6 Pr 3.71-3.72
La 0.6684 0.3316 0.0000  6 La 3.65-3.71, 6 Pr 3.71-3.72
Pr 0.0891 0.4205 0.2580  1 Mg 3.55, 2 Ho 3.56-3.57, 6 Pr 3.64-3.68, 3 La 3.71-3.72
Pr 0.2489 0.2489 0.7435  1 Mg 3.57, 2 Ho 3.58, 6 Pr 3.64-3.68, 3 La 3.71
Pr 0.4205 0.0891 0.2580  1 Mg 3.55, 2 Ho 3.56-3.57, 6 Pr 3.64-3.68, 3 La 3.71-3.72
Pr 0.5795 0.9109 0.7420  1 Mg 3.55, 2 Ho 3.56-3.57, 6 Pr 3.64-3.68, 3 La 3.71-3.72
Pr 0.7511 0.7511 0.2565  1 Mg 3.57, 2 Ho 3.58, 6 Pr 3.64-3.68, 3 La 3.71
Pr 0.9109 0.5795 0.7420  1 Mg 3.55, 2 Ho 3.56-3.57, 6 Pr 3.64-3.68, 3 La 3.71-3.72
Ho 0.1666 0.8334 0.5000  6 Pr 3.56-3.58, 3 Mg 3.67, 3 Ho 3.67
Ho 0.8334 0.1666 0.5000  6 Pr 3.56-3.58, 3 Mg 3.67, 3 Ho 3.67
Mg 0.5000 0.5000 0.5000  6 Pr 3.55-3.57, 6 Ho 3.67


No. 3
VASP calculation (PBE) on a relaxed DyTmSiNi crystal.

The value obtained for the calculated total energy is -45.8 eV for the cell shown. The calculation puts the energy relative to the elements, uncorrected at -0.65 eV/atom. As for the symmetry: Amm2, No. 38. As for the distance to the lowest polymorph of the same formula: 0.0 meV per atom. Its total magnetization is 0.00 μB/cell.

Cell: 4.0299 3.9334 10.5108 Å, 90.00 90.00 90.00°
Last column: nearest neighbours and their distance in Å.
Element x y z (fractional)
Dy 0.0000 0.0000 0.0000  4 Ni 2.93, 3 Si 2.97-3.03
Dy 0.0000 0.5000 0.5000  4 Ni 2.93, 3 Si 2.97-3.03
Tm 0.5000 0.0000 0.2810  4 Si 2.91, 3 Ni 2.92-3.10
Tm 0.5000 0.5000 0.7810  4 Si 2.91, 3 Ni 2.92-3.10
Si 0.0000 0.0000 0.7115  2 Ni 2.47
Si 0.0000 0.5000 0.2115  2 Ni 2.47
Ni 0.5000 0.0000 0.5760  2 Si 2.47
Ni 0.5000 0.5000 0.0760  2 Si 2.47


No. 4
VASP calculation (PBE) on a relaxed InGa2Ag4 crystal.

The value obtained for the calculated total energy is -40.2 eV for the cell shown. As for the symmetry: P1, No. 1. As for the distance to the lowest polymorph of the same formula: 0.0 meV per atom. The value obtained for the formation energy from the elements is 11 meV/atom. Its total magnetization is 0.00 μB/cell.

Cell: 5.9315 7.2738 7.5987 Å, 116.14 111.80 92.07°
Last column: nearest neighbours and their distance in Å.
Element x y z (fractional)
In 0.0000 0.0000 0.0000  8 Ag 2.85-3.06, 2 Ga 2.97-3.02
In 0.4776 0.8673 0.5214  7 Ag 2.88-3.03, 2 Ga 3.14-3.15
Ga 0.3388 0.5734 0.6868  7 Ag 2.68-2.98, 1 Ga 2.92
Ga 0.5913 0.4476 0.2334  8 Ag 2.76-3.05, 1 Ga 2.76
Ga 0.8347 0.5484 0.6634  5 Ag 2.70-3.01, 3 Ga 2.76-3.02, 1 In 2.97
Ga 0.9129 0.1094 0.3980  6 Ag 2.79-2.95, 1 In 3.02, 1 Ga 3.10
Ag 0.0021 0.8349 0.5674  4 Ga 2.75-2.99, 2 Ag 2.93-2.99, 3 In 2.97-3.03
Ag 0.0930 0.4585 0.2644  2 Ga 2.68-2.89, 5 Ag 2.89-2.99, 2 In 2.93-2.99
Ag 0.2563 0.6614 0.0531  3 Ga 2.80-2.88, 2 In 2.88-3.04, 6 Ag 2.96-3.04
Ag 0.3585 0.2525 0.7863  3 Ga 2.75-2.84, 1 In 2.94, 6 Ag 2.94-3.01
Ag 0.4378 0.2093 0.4031  4 Ga 2.71-2.95, 2 In 2.85-2.98, 4 Ag 2.93-3.00
Ag 0.5023 0.9960 0.0016  3 Ga 2.77-2.87, 4 Ag 2.93-3.04, 2 In 2.96-2.98
Ag 0.7642 0.6723 0.0702  4 Ga 2.81-3.01, 7 Ag 2.92-3.11, 1 In 3.06
Ag 0.8656 0.2567 0.7956  2 Ga 2.70-2.86, 2 In 2.88-2.90, 5 Ag 2.89-2.99


No. 5
VASP calculation (PBE) on a relaxed AcIrI2 crystal.

The value obtained for the calculated total energy is -45.8 eV for the cell shown. The calculation puts the energy relative to the elements, uncorrected at 0.20 eV/atom. As for the symmetry: R-3m, No. 166. Its total magnetization is 4.12 μB/cell.

Cell: 4.0902 4.0902 29.7661 Å, 90.00 90.00 120.00°
Last column: nearest neighbours and their distance in Å.
Element x y z (fractional)
Ac 0.0000 0.0000 0.0000  6 I 3.36
Ac 0.3333 0.6667 0.6667  6 I 3.36
Ac 0.6667 0.3333 0.3333  6 I 3.36
Ir 0.0000 0.0000 0.5000  2 I 2.57
Ir 0.3333 0.6667 0.1667  2 I 2.57
Ir 0.6667 0.3333 0.8333  2 I 2.57
I 0.0000 0.0000 0.4137  1 Ir 2.57
I 0.0000 0.0000 0.5863  1 Ir 2.57
I 0.3333 0.6667 0.0804  1 Ir 2.57
I 0.3333 0.6667 0.2530  1 Ir 2.57
I 0.6667 0.3333 0.7470  1 Ir 2.57
I 0.6667 0.3333 0.9196  1 Ir 2.57


No. 6
VASP calculation (PBE) on a relaxed La4IrAu2 crystal.

The value obtained for the calculated total energy is -79.9 eV for the cell shown. As for the symmetry: C2/m, No. 12. The value obtained for the formation energy from the elements is -693 meV/atom. Its total magnetization is 0.00 μB/cell.

Cell: 14.8289 4.6155 6.3367 Å, 90.00 98.83 90.00°
Last column: nearest neighbours and their distance in Å.
Element x y z (fractional)
La 0.0828 0.0000 0.3091  2 Ir 2.96, 3 Au 3.17-3.28
La 0.1551 0.5000 0.8166  1 Ir 2.81, 2 Au 3.11
La 0.3449 0.0000 0.1834  1 Ir 2.81, 2 Au 3.11
La 0.4172 0.5000 0.6909  2 Ir 2.96, 3 Au 3.17-3.28
La 0.5828 0.5000 0.3091  2 Ir 2.96, 3 Au 3.17-3.28
La 0.6551 0.0000 0.8166  1 Ir 2.81, 2 Au 3.11
La 0.8449 0.5000 0.1834  1 Ir 2.81, 2 Au 3.11
La 0.9172 0.0000 0.6909  2 Ir 2.96, 3 Au 3.17-3.28
Ir 0.0000 0.5000 0.5000  6 La 2.81-2.96
Ir 0.5000 0.0000 0.5000  6 La 2.81-2.96
Au 0.2306 0.5000 0.3368  2 Au 3.09, 7 La 3.11-3.40
Au 0.2694 0.0000 0.6632  2 Au 3.09, 7 La 3.11-3.40
Au 0.7306 0.0000 0.3368  2 Au 3.09, 7 La 3.11-3.40
Au 0.7694 0.5000 0.6632  2 Au 3.09, 7 La 3.11-3.40


No. 7
VASP calculation (PBE) on a relaxed Pa3Ga3Tc2Ru crystal.

The value obtained for the calculated total energy is -71.8 eV for the cell shown. As for the symmetry: P-62m, No. 189. The value obtained for the formation energy from the elements is -468 meV/atom. Its total magnetization is 0.00 μB/cell.

Cell: 6.9379 6.9379 4.0938 Å, 90.00 90.00 120.00°
Last column: nearest neighbours and their distance in Å.
Element x y z (fractional)
Pa 0.0000 0.4196 0.0000  1 Ru 2.91, 4 Tc 2.92, 6 Ga 3.15-3.25
Pa 0.4196 0.0000 0.0000  1 Ru 2.91, 4 Tc 2.92, 6 Ga 3.15-3.25
Pa 0.5804 0.5804 0.0000  1 Ru 2.91, 4 Tc 2.92, 6 Ga 3.15-3.25
Ga 0.0000 0.7649 0.5000  2 Ru 2.62, 2 Tc 2.72, 2 Ga 2.83
Ga 0.2351 0.2351 0.5000  2 Ru 2.62, 2 Tc 2.72, 2 Ga 2.83
Ga 0.7649 0.0000 0.5000  2 Ru 2.62, 2 Tc 2.72, 2 Ga 2.83
Tc 0.3333 0.6667 0.5000  3 Ga 2.72, 6 Pa 2.92
Tc 0.6667 0.3333 0.5000  3 Ga 2.72, 6 Pa 2.92
Ru 0.0000 0.0000 0.0000  6 Ga 2.62, 3 Pa 2.91


No. 8
VASP calculation (PBE) on a relaxed TiCdS2Cl crystal.

The value obtained for the calculated total energy is -17.6 eV for the cell shown. The calculation puts the energy relative to the elements, uncorrected at 0.26 eV/atom. As for the symmetry: P4/mmm, No. 123. As for the distance to the lowest polymorph of the same formula: 938.6 meV per atom. Its total magnetization is 1.60 μB/cell.

Cell: 4.9674 4.9674 4.9979 Å, 90.00 90.00 90.00°
Last column: nearest neighbours and their distance in Å.
Element x y z (fractional)
Ti 0.0000 0.0000 0.0000  4 Cl 3.51, 8 S 3.52
Cd 0.5000 0.5000 0.5000  4 S 2.48, 2 Cl 2.50
S 0.0000 0.5000 0.5000  2 Cd 2.48
S 0.5000 0.0000 0.5000  2 Cd 2.48
Cl 0.5000 0.5000 0.0000  2 Cd 2.50


No. 9
VASP calculation (PBE) on a relaxed Ac2BeSb crystal.

The value obtained for the calculated total energy is -67.1 eV for the cell shown. The calculation puts the energy relative to the elements, uncorrected at -0.18 eV/atom. As for the symmetry: Fm-3m, No. 225. As for the distance to the lowest polymorph of the same formula: 60.7 meV per atom. Its total magnetization is 0.00 μB/cell.

Cell: 7.9273 7.9273 7.9273 Å, 90.00 90.00 90.00°
Last column: nearest neighbours and their distance in Å.
Element x y z (fractional)
Ac 0.2500 0.2500 0.2500  4 Sb 3.43, 4 Be 3.43
Ac 0.2500 0.2500 0.7500  4 Sb 3.43, 4 Be 3.43
Ac 0.2500 0.7500 0.2500  4 Sb 3.43, 4 Be 3.43
Ac 0.2500 0.7500 0.7500  4 Sb 3.43, 4 Be 3.43
Ac 0.7500 0.2500 0.2500  4 Sb 3.43, 4 Be 3.43
Ac 0.7500 0.2500 0.7500  4 Sb 3.43, 4 Be 3.43
Ac 0.7500 0.7500 0.2500  4 Sb 3.43, 4 Be 3.43
Ac 0.7500 0.7500 0.7500  4 Sb 3.43, 4 Be 3.43
Be 0.0000 0.0000 0.0000  8 Ac 3.43
Be 0.0000 0.5000 0.5000  8 Ac 3.43
Be 0.5000 0.0000 0.5000  8 Ac 3.43
Be 0.5000 0.5000 0.0000  8 Ac 3.43
Sb 0.0000 0.0000 0.5000  8 Ac 3.43
Sb 0.0000 0.5000 0.0000  8 Ac 3.43
Sb 0.5000 0.0000 0.0000  8 Ac 3.43
Sb 0.5000 0.5000 0.5000  8 Ac 3.43


No. 10
VASP calculation (PBE) on a relaxed KGaHgTe crystal.

The value obtained for the calculated total energy is -35.8 eV for the cell shown. The calculation puts the energy relative to the elements, uncorrected at -0.35 eV/atom. As for the symmetry: F-43m, No. 216. Its total magnetization is 0.00 μB/cell.

Cell: 7.9798 7.9798 7.9798 Å, 90.00 90.00 90.00°
Last column: nearest neighbours and their distance in Å.
Element x y z (fractional)
K 0.0000 0.0000 0.0000  4 Hg 3.46, 4 Te 3.46
K 0.0000 0.5000 0.5000  4 Hg 3.46, 4 Te 3.46
K 0.5000 0.0000 0.5000  4 Hg 3.46, 4 Te 3.46
K 0.5000 0.5000 0.0000  4 Hg 3.46, 4 Te 3.46
Ga 0.0000 0.0000 0.5000  4 Hg 3.46, 4 Te 3.46
Ga 0.0000 0.5000 0.0000  4 Hg 3.46, 4 Te 3.46
Ga 0.5000 0.0000 0.0000  4 Hg 3.46, 4 Te 3.46
Ga 0.5000 0.5000 0.5000  4 Hg 3.46, 4 Te 3.46
Hg 0.2500 0.2500 0.2500  4 K 3.46, 4 Ga 3.46
Hg 0.2500 0.7500 0.7500  4 K 3.46, 4 Ga 3.46
Hg 0.7500 0.2500 0.7500  4 K 3.46, 4 Ga 3.46
Hg 0.7500 0.7500 0.2500  4 K 3.46, 4 Ga 3.46
Te 0.2500 0.2500 0.7500  4 K 3.46, 4 Ga 3.46
Te 0.2500 0.7500 0.2500  4 K 3.46, 4 Ga 3.46
Te 0.7500 0.2500 0.2500  4 K 3.46, 4 Ga 3.46
Te 0.7500 0.7500 0.7500  4 K 3.46, 4 Ga 3.46


No. 11
VASP calculation (PBE) on a relaxed NaTe2OsN crystal.

The value obtained for the calculated total energy is -26.8 eV for the cell shown. The calculation puts the energy relative to the elements, uncorrected at 0.07 eV/atom. As for the symmetry: P4/mmm, No. 123. As for the distance to the lowest polymorph of the same formula: 0.0 meV per atom. Its total magnetization is 0.00 μB/cell.

Cell: 5.6392 5.6392 3.6740 Å, 90.00 90.00 90.00°
Last column: nearest neighbours and their distance in Å.
Element x y z (fractional)
Na 0.0000 0.0000 0.0000  8 Te 3.37, 2 Na 3.67
Te 0.0000 0.5000 0.5000  2 Os 2.82
Te 0.5000 0.0000 0.5000  2 Os 2.82
Os 0.5000 0.5000 0.5000  2 N 1.84
N 0.5000 0.5000 0.0000  2 Os 1.84


No. 12
VASP calculation (PBE) on a relaxed CePaPb2 crystal.

The value obtained for the calculated total energy is -67.1 eV for the cell shown. As for the symmetry: R-3m, No. 166. As for the distance to the lowest polymorph of the same formula: 245.5 meV per atom. The value obtained for the formation energy from the elements is 122 meV/atom. Its total magnetization is 3.59 μB/cell.

Cell: 3.3222 3.3222 36.9682 Å, 90.00 90.00 120.00°
Last column: nearest neighbours and their distance in Å.
Element x y z (fractional)
Ce 0.0000 0.0000 0.0000  2 Pb 3.30, 6 Ce 3.32
Ce 0.3333 0.6667 0.6667  2 Pb 3.30, 6 Ce 3.32
Ce 0.6667 0.3333 0.3333  2 Pb 3.30, 6 Ce 3.32
Pa 0.0000 0.0000 0.5000  6 Pa 3.32, 6 Pb 3.45
Pa 0.3333 0.6667 0.1667  6 Pa 3.32, 6 Pb 3.45
Pa 0.6667 0.3333 0.8333  6 Pa 3.32, 6 Pb 3.45
Pb 0.0000 0.0000 0.0891  1 Ce 3.30, 6 Pb 3.32, 3 Pa 3.45
Pb 0.0000 0.0000 0.9109  1 Ce 3.30, 6 Pb 3.32, 3 Pa 3.45
Pb 0.3333 0.6667 0.5775  1 Ce 3.30, 6 Pb 3.32, 3 Pa 3.45
Pb 0.3333 0.6667 0.7558  1 Ce 3.30, 6 Pb 3.32, 3 Pa 3.45
Pb 0.6667 0.3333 0.2442  1 Ce 3.30, 6 Pb 3.32, 3 Pa 3.45
Pb 0.6667 0.3333 0.4225  1 Ce 3.30, 6 Pb 3.32, 3 Pa 3.45